(1)
# V6Ga5

A PBEsol-optimized structure of V6Ga5 (SCAN, the Alexandria database).

a b c (Å): 8.3572 8.3572 5.0523
angles (deg): 90.00 90.00 120.00
Last column: nearest neighbours and their distance in Å.
Fractional coordinates of all 22 atoms:
V1 0.0000 0.5000 0.0000  6 V 2.53-2.79, 6 Ga 2.53-2.72
V2 0.0000 0.5000 0.5000  6 V 2.53-2.79, 6 Ga 2.53-2.72
V3 0.1562 0.3123 0.2500  7 Ga 2.56-2.67, 4 V 2.79
V4 0.1562 0.8438 0.2500  7 Ga 2.56-2.67, 4 V 2.79
V5 0.3123 0.1562 0.7500  7 Ga 2.56-2.67, 4 V 2.79
V6 0.5000 0.0000 0.0000  6 V 2.53-2.79, 6 Ga 2.53-2.72
V7 0.5000 0.0000 0.5000  6 V 2.53-2.79, 6 Ga 2.53-2.72
V8 0.5000 0.5000 0.0000  6 V 2.53-2.79, 6 Ga 2.53-2.72
V9 0.5000 0.5000 0.5000  6 V 2.53-2.79, 6 Ga 2.53-2.72
V10 0.6877 0.8438 0.2500  7 Ga 2.56-2.67, 4 V 2.79
V11 0.8438 0.1562 0.7500  7 Ga 2.56-2.67, 4 V 2.79
V12 0.8438 0.6877 0.7500  7 Ga 2.56-2.67, 4 V 2.79
Ga1 0.0000 0.0000 0.0000  2 Ga 2.53, 6 V 2.59
Ga2 0.0000 0.0000 0.5000  2 Ga 2.53, 6 V 2.59
Ga3 0.2035 0.4071 0.7500  8 V 2.53-2.67
Ga4 0.2035 0.7965 0.7500  8 V 2.53-2.67
Ga5 0.3333 0.6667 0.2500  9 V 2.56-2.72
Ga6 0.4071 0.2035 0.2500  8 V 2.53-2.67
Ga7 0.5930 0.7965 0.7500  8 V 2.53-2.67
Ga8 0.6667 0.3333 0.7500  9 V 2.56-2.72
Ga9 0.7965 0.2035 0.2500  8 V 2.53-2.67
Ga10 0.7965 0.5930 0.2500  8 V 2.53-2.67

Properties
Space-group type: P6_3/mmc, No. 194
N(E_F) in states/eV/atom: 0.643
Crystal system: hexagonal
Energy of formation in eV/atom: -0.296


(2)
# ZrV2Ga4

A PBEsol-optimized structure of ZrV2Ga4 (SCAN, the Alexandria database).

a b c (Å): 5.1949 5.1949 5.1949
angles (deg): 104.02 104.02 121.03
Last column: nearest neighbours and their distance in Å.
Fractional coordinates of all 7 atoms:
Zr1 0.0000 0.0000 0.0000  4 Ga 2.74
V1 0.2500 0.7500 0.5000  2 V 2.56, 8 Ga 2.64
V2 0.7500 0.2500 0.5000  2 V 2.56, 8 Ga 2.64
Ga1 0.3028 0.3028 0.6055  4 Ga 2.52-2.73, 4 V 2.64, 1 Zr 2.74
Ga2 0.3028 0.6972 0.0000  4 Ga 2.52-2.73, 4 V 2.64, 1 Zr 2.74
Ga3 0.6972 0.3028 0.0000  4 Ga 2.52-2.73, 4 V 2.64, 1 Zr 2.74
Ga4 0.6972 0.6972 0.3945  4 Ga 2.52-2.73, 4 V 2.64, 1 Zr 2.74

Properties
Space-group type: I4/mmm, No. 139
N(E_F) in states/eV/atom: 0.266
Crystal system: tetragonal
Energy of formation in eV/atom: -0.523


(3)
# ZrGaW3

A PBEsol-optimized structure of ZrGaW3 (SCAN, the Alexandria database).

a b c (Å): 4.7268 4.7268 4.7268
angles (deg): 90.00 90.00 90.00
Last column: nearest neighbours and their distance in Å.
Fractional coordinates of all 5 atoms:
Zr1 0.0000 0.0000 0.0000  6 W 2.36
Ga1 0.5000 0.5000 0.5000  12 W 3.34
W1 0.0000 0.0000 0.5000  2 Zr 2.36
W2 0.0000 0.5000 0.0000  2 Zr 2.36
W3 0.5000 0.0000 0.0000  2 Zr 2.36

Properties
Space-group type: Pm-3m, No. 221
N(E_F) in states/eV/atom: 0.705
Crystal system: cubic
Energy of formation in eV/atom: 2.748


(4)
# YGa

A PBEsol-optimized structure of YGa (SCAN, the Alexandria database).

a b c (Å): 5.7992 5.7992 4.0055
angles (deg): 90.00 90.00 136.68
Last column: nearest neighbours and their distance in Å.
Fractional coordinates of all 4 atoms:
Y1 0.1401 0.8599 0.7500  7 Ga 3.01-3.16
Y2 0.8599 0.1401 0.2500  7 Ga 3.01-3.16
Ga1 0.4243 0.5757 0.7500  2 Ga 2.58
Ga2 0.5757 0.4243 0.2500  2 Ga 2.58

Properties
Space-group type: Cmcm, No. 63
N(E_F) in states/eV/atom: 0.631
Crystal system: orthorhombic
Energy of formation in eV/atom: -0.796


(5)
# YGa6

A PBEsol-optimized structure of YGa6 (SCAN, the Alexandria database).

a b c (Å): 5.8582 5.8582 7.4964
angles (deg): 90.00 90.00 90.00
Last column: nearest neighbours and their distance in Å.
Fractional coordinates of all 14 atoms:
Y1 0.2500 0.7500 0.0000  12 Ga 3.03-3.17
Y2 0.7500 0.2500 0.0000  12 Ga 3.03-3.17
Ga1 0.0715 0.5715 0.3524  3 Ga 2.51-2.59
Ga2 0.0715 0.9285 0.6476  3 Ga 2.51-2.59
Ga3 0.2500 0.2500 0.1614  5 Ga 2.42-2.59
Ga4 0.2500 0.2500 0.8386  5 Ga 2.42-2.59
Ga5 0.4285 0.5715 0.6476  3 Ga 2.51-2.59
Ga6 0.4285 0.9285 0.3524  3 Ga 2.51-2.59
Ga7 0.5715 0.0715 0.6476  3 Ga 2.51-2.59
Ga8 0.5715 0.4285 0.3524  3 Ga 2.51-2.59
Ga9 0.7500 0.7500 0.1614  5 Ga 2.42-2.59
Ga10 0.7500 0.7500 0.8386  5 Ga 2.42-2.59
Ga11 0.9285 0.0715 0.3524  3 Ga 2.51-2.59
Ga12 0.9285 0.4285 0.6476  3 Ga 2.51-2.59

Properties
Space-group type: P4/nbm, No. 125
N(E_F) in states/eV/atom: 0.169
Crystal system: tetragonal
Energy of formation in eV/atom: -0.376


(6)
# Y3Ga2

A PBEsol-optimized structure of Y3Ga2 (SCAN, the Alexandria database).

a b c (Å): 10.9515 10.9515 10.9515
angles (deg): 116.73 116.73 95.76
Last column: nearest neighbours and their distance in Å.
Fractional coordinates of all 40 atoms:
Y1 0.0668 0.9318 0.2695  6 Ga 2.93-3.28
Y2 0.0682 0.3378 0.1350  6 Ga 2.93-3.28
Y3 0.1473 0.6473 0.5000  4 Ga 2.88-3.00, 1 Y 3.02
Y4 0.1622 0.4318 0.8650  6 Ga 2.93-3.28
Y5 0.1689 0.3311 0.5000  2 Ga 2.97
Y6 0.2027 0.9332 0.8650  6 Ga 2.93-3.28
Y7 0.2973 0.1622 0.7305  6 Ga 2.93-3.28
Y8 0.3311 0.8311 0.1622  2 Ga 2.97
Y9 0.3378 0.2027 0.2695  6 Ga 2.93-3.28
Y10 0.3527 0.8527 0.5000  4 Ga 2.88-3.00, 1 Y 3.02
Y11 0.4318 0.5668 0.2695  6 Ga 2.93-3.28
Y12 0.4332 0.7027 0.8650  6 Ga 2.93-3.28
Y13 0.5668 0.2973 0.1350  6 Ga 2.93-3.28
Y14 0.5682 0.4332 0.7305  6 Ga 2.93-3.28
Y15 0.6473 0.1473 0.5000  4 Ga 2.88-3.00, 1 Y 3.02
Y16 0.6622 0.7973 0.7305  6 Ga 2.93-3.28
Y17 0.6689 0.1689 0.8378  2 Ga 2.97
Y18 0.7027 0.8378 0.2695  6 Ga 2.93-3.28
Y19 0.7973 0.0668 0.1350  6 Ga 2.93-3.28
Y20 0.8311 0.6689 0.5000  2 Ga 2.97
Y21 0.8378 0.5682 0.1350  6 Ga 2.93-3.28
Y22 0.8527 0.3527 0.5000  4 Ga 2.88-3.00, 1 Y 3.02
Y23 0.9318 0.6622 0.8650  6 Ga 2.93-3.28
Y24 0.9332 0.0682 0.7305  6 Ga 2.93-3.28
Ga1 0.0000 0.0000 0.0000  8 Y 3.16
Ga2 0.0237 0.8795 0.5000  1 Ga 2.74, 4 Y 2.97-3.04
Ga3 0.1172 0.6172 0.7344  6 Y 2.88-2.93
Ga4 0.1205 0.6205 0.1442  1 Ga 2.74, 4 Y 2.97-3.04
Ga5 0.2500 0.2500 0.0000  8 Y 2.97
Ga6 0.3795 0.5237 0.5000  1 Ga 2.74, 4 Y 2.97-3.04
Ga7 0.3828 0.1172 0.5000  6 Y 2.88-2.93
Ga8 0.4763 0.9763 0.8558  1 Ga 2.74, 4 Y 2.97-3.04
Ga9 0.5000 0.5000 0.0000  8 Y 3.16
Ga10 0.5237 0.0237 0.1442  1 Ga 2.74, 4 Y 2.97-3.04
Ga11 0.6172 0.8828 0.5000  6 Y 2.88-2.93
Ga12 0.6205 0.4763 0.5000  1 Ga 2.74, 4 Y 2.97-3.04
Ga13 0.7500 0.7500 0.0000  8 Y 2.97
Ga14 0.8795 0.3795 0.8558  1 Ga 2.74, 4 Y 2.97-3.04
Ga15 0.8828 0.3828 0.2656  6 Y 2.88-2.93
Ga16 0.9763 0.1205 0.5000  1 Ga 2.74, 4 Y 2.97-3.04

Properties
Space-group type: I4/mcm, No. 140
N(E_F) in states/eV/atom: 0.437
Crystal system: tetragonal
Energy of formation in eV/atom: -0.678


(7)
# Y4ZnGa3

A PBEsol-optimized structure of Y4ZnGa3 (SCAN, the Alexandria database).

a b c (Å): 11.2359 11.2359 11.2359
angles (deg): 159.73 158.00 30.09
Last column: nearest neighbours and their distance in Å.
Fractional coordinates of all 8 atoms:
Y1 0.0000 0.0000 0.0000  7 Ga 3.00-3.16
Y2 0.1396 0.6396 0.5000  6 Ga 3.00-3.18, 1 Zn 3.12
Y3 0.3921 0.3921 0.0000  5 Ga 3.01-3.03, 2 Zn 3.08
Y4 0.7468 0.2468 0.5000  4 Zn 3.02, 3 Ga 3.03-3.11
Zn1 0.2836 0.7836 0.5000  2 Ga 2.67
Ga1 0.5316 0.5316 0.0000  2 Ga 2.57
Ga2 0.6072 0.1072 0.5000  2 Ga 2.57
Ga3 0.8572 0.8572 0.0000  2 Zn 2.67

Properties
Space-group type: Imm2, No. 44
N(E_F) in states/eV/atom: 0.807
Crystal system: orthorhombic
Energy of formation in eV/atom: -0.694


(8)
# YZrGa

A PBEsol-optimized structure of YZrGa (SCAN, the Alexandria database).

a b c (Å): 8.4200 8.4200 8.4200
angles (deg): 151.34 151.34 40.98
Last column: nearest neighbours and their distance in Å.
Fractional coordinates of all 6 atoms:
Y1 0.1777 0.1777 0.0000  5 Ga 3.05-3.06
Y2 0.8223 0.8223 0.0000  5 Ga 3.05-3.06
Zr1 0.0000 0.5000 0.5000  4 Ga 2.91, 4 Zr 2.95
Zr2 0.5000 0.0000 0.5000  4 Ga 2.91, 4 Zr 2.95
Ga1 0.3716 0.3716 0.0000  4 Zr 2.91, 5 Y 3.05-3.06
Ga2 0.6284 0.6284 0.0000  4 Zr 2.91, 5 Y 3.05-3.06

Properties
Space-group type: I4/mmm, No. 139
N(E_F) in states/eV/atom: 0.813
Crystal system: tetragonal
Energy of formation in eV/atom: -0.551


(9)
# YZr3Ga

A PBEsol-optimized structure of YZr3Ga (SCAN, the Alexandria database).

a b c (Å): 5.0668 5.0668 5.0668
angles (deg): 90.00 90.00 90.00
Last column: nearest neighbours and their distance in Å.
Fractional coordinates of all 5 atoms:
Y1 0.0000 0.0000 0.0000  12 Zr 3.58
Zr1 0.0000 0.5000 0.5000  2 Ga 2.53
Zr2 0.5000 0.0000 0.5000  2 Ga 2.53
Zr3 0.5000 0.5000 0.0000  2 Ga 2.53
Ga1 0.5000 0.5000 0.5000  6 Zr 2.53

Properties
Space-group type: Pm-3m, No. 221
N(E_F) in states/eV/atom: 0.979
Crystal system: cubic
Energy of formation in eV/atom: 0.244


(10)
# Zr2Zn2Ga

A PBEsol-optimized structure of Zr2Zn2Ga (SCAN, the Alexandria database).

a b c (Å): 6.5143 6.5143 4.1024
angles (deg): 90.00 90.00 90.00
Last column: nearest neighbours and their distance in Å.
Fractional coordinates of all 10 atoms:
Zr1 0.1691 0.3309 0.0000  6 Zn 2.76-2.85
Zr2 0.3309 0.8309 0.0000  6 Zn 2.76-2.85
Zr3 0.6691 0.1691 0.0000  6 Zn 2.76-2.85
Zr4 0.8309 0.6691 0.0000  6 Zn 2.76-2.85
Zn1 0.1312 0.6312 0.5000  1 Zn 2.42, 2 Ga 2.55
Zn2 0.3688 0.1312 0.5000  1 Zn 2.42, 2 Ga 2.55
Zn3 0.6312 0.8688 0.5000  1 Zn 2.42, 2 Ga 2.55
Zn4 0.8688 0.3688 0.5000  1 Zn 2.42, 2 Ga 2.55
Ga1 0.0000 0.0000 0.5000  4 Zn 2.55
Ga2 0.5000 0.5000 0.5000  4 Zn 2.55

Properties
Space-group type: P4/mbm, No. 127
N(E_F) in states/eV/atom: 0.473
Crystal system: tetragonal
Energy of formation in eV/atom: -0.471


(11)
# Zr3Ga2

A PBEsol-optimized structure of Zr3Ga2 (SCAN, the Alexandria database).

a b c (Å): 7.2605 7.2605 3.6555
angles (deg): 90.00 90.00 90.00
Last column: nearest neighbours and their distance in Å.
Fractional coordinates of all 10 atoms:
Zr1 0.0000 0.0000 0.0000  4 Ga 2.88
Zr2 0.1768 0.3232 0.5000  6 Ga 2.75-2.87
Zr3 0.3232 0.8232 0.5000  6 Ga 2.75-2.87
Zr4 0.5000 0.5000 0.0000  4 Ga 2.88
Zr5 0.6768 0.1768 0.5000  6 Ga 2.75-2.87
Zr6 0.8232 0.6768 0.5000  6 Ga 2.75-2.87
Ga1 0.1227 0.6227 0.0000  1 Ga 2.52, 2 Zr 2.75
Ga2 0.3773 0.1227 0.0000  1 Ga 2.52, 2 Zr 2.75
Ga3 0.6227 0.8773 0.0000  1 Ga 2.52, 2 Zr 2.75
Ga4 0.8773 0.3773 0.0000  1 Ga 2.52, 2 Zr 2.75

Properties
Space-group type: P4/mbm, No. 127
N(E_F) in states/eV/atom: 1.079
Crystal system: tetragonal
Energy of formation in eV/atom: -0.660


(12)
# Zr2Ga3

A PBEsol-optimized structure of Zr2Ga3 (SCAN, the Alexandria database).

a b c (Å): 7.3505 5.4305 8.2818
angles (deg): 60.68 40.10 79.22
Last column: nearest neighbours and their distance in Å.
Fractional coordinates of all 10 atoms:
Zr1 0.2323 0.7677 0.3721  8 Ga 2.79-3.00
Zr2 0.6221 0.8779 0.4823  8 Ga 2.79-3.00
Zr3 0.7677 0.2323 0.6279  8 Ga 2.79-3.00
Zr4 0.8779 0.6221 0.0177  8 Ga 2.79-3.00
Ga1 0.1750 0.8046 0.0564  4 Ga 2.59-2.73, 4 Zr 2.82-2.88
Ga2 0.1936 0.2860 0.0750  4 Ga 2.59-2.73, 4 Zr 2.82-2.88
Ga3 0.2860 0.1936 0.4454  4 Ga 2.59-2.73, 4 Zr 2.82-2.88
Ga4 0.3644 0.3644 0.6356  4 Ga 2.59-2.67, 4 Zr 2.79-2.88
Ga5 0.6144 0.6144 0.8856  4 Ga 2.59-2.67, 4 Zr 2.79-2.88
Ga6 0.8046 0.1750 0.9640  4 Ga 2.59-2.73, 4 Zr 2.82-2.88

Properties
Space-group type: Fdd2, No. 43
N(E_F) in states/eV/atom: 0.526
Crystal system: orthorhombic
Energy of formation in eV/atom: -0.740